Arrangement one

## SmEr3In (PBE)

Data for a relaxed SmEr3In crystal.

a b c (Å): 4.821 4.808 12.779
angles (deg): 90.00 79.13 90.00
Atoms (fractional coordinates):
Sm: 0.472 0.750 0.703
Sm: 0.176 0.250 0.297
Er: 0.773 0.250 0.103
Er: 0.372 0.250 0.905
Er: 0.574 0.250 0.500
Er: 0.277 0.750 0.095
Er: 0.876 0.750 0.897
Er: 0.074 0.750 0.500
In: 0.671 0.750 0.306
In: 0.977 0.250 0.694

Values from the calculation:
**N(E_F)**: 1.309 states/eV/atom

---

Arrangement two

## SmEr3In (PBE)

Data for a relaxed SmEr3In crystal.

a b c (Å): 3.536 8.491 11.101
angles (deg): 90.00 90.00 102.02
Atoms (fractional coordinates):
Sm: 0.018 0.537 0.250
Sm: 0.982 0.463 0.750
Er: 0.844 0.188 0.010
Er: 0.156 0.812 0.990
Er: 0.844 0.188 0.490
Er: 0.156 0.812 0.510
Er: 0.703 0.906 0.250
Er: 0.297 0.094 0.750
In: 0.360 0.221 0.250
In: 0.640 0.779 0.750

Values from the calculation:
**N(E_F)**: 1.689 states/eV/atom

---

Which structure wins on stability? arrangement one wins.